VASP calculation (PBE) on crystalline Sm3Dy5Sc2 at its relaxed geometry.

Lattice parameters (Å, degrees): 9.144 9.143 10.900 123.71 123.72 71.13
Sites, in units of the cell vectors:
Dy1 0.628 0.885 0.281
Dy2 0.153 0.396 0.281
Sm1 0.269 0.526 0.747
Sc1 0.464 0.719 0.728
Sm2 0.235 0.985 0.970
Sm3 0.978 0.221 0.747
Dy3 0.727 0.477 0.953
Sm4 0.022 0.779 0.253
Sm5 0.765 0.015 0.030
Dy4 0.969 0.219 0.437
Sc2 0.764 0.009 0.728
Dy5 0.372 0.115 0.719
Dy6 0.531 0.281 0.562
Dy7 0.469 0.719 0.438
Sm6 0.731 0.474 0.253
Dy8 0.847 0.604 0.719
Sc3 0.536 0.281 0.272
Dy9 0.273 0.523 0.047
Sc4 0.236 0.991 0.272
Dy10 0.031 0.781 0.563

Output
raw total energy	-95.78	eV per cell
magnetization	0.000	μB/atom
ΔE_f	0.194	eV/atom
volume	630	Å³/cell

=====

VASP calculation (PBE) on crystalline SmDy6Sc4 at its relaxed geometry.

Lattice parameters (Å, degrees): 5.244 8.683 8.683 120.00 90.00 90.00
Sites, in units of the cell vectors:
Sc1 0.000 0.333 0.667
Dy1 0.000 0.933 0.467
Dy2 0.000 0.533 0.067
Dy3 0.000 0.533 0.467
Dy4 0.500 0.200 0.800
Sc2 0.500 0.427 0.214
Sc3 0.500 0.786 0.214
Sm1 0.000 0.000 0.000
Dy5 0.500 0.200 0.400
Sc4 0.500 0.786 0.573
Dy6 0.500 0.600 0.800

Output
raw total energy	-54.12	eV per cell
ΔE to the lowest computed polymorph	4.84	kcal/mol of atoms
magnetization	0.000	μB/atom
ΔE_f	0.322	eV/atom
volume	342	Å³/cell

=====

VASP calculation (PBE) on crystalline Sm3DySc3 at its relaxed geometry.

Lattice parameters (Å, degrees): 8.535 8.535 8.535 58.79 58.79 58.79
Sites, in units of the cell vectors:
Sm1 0.716 0.566 0.071
Dy1 0.655 0.655 0.655
Sm2 0.284 0.434 0.929
Sc1 0.939 0.723 0.169
Sm3 0.566 0.071 0.716
Sc2 0.061 0.277 0.831
Sm4 0.929 0.284 0.434
Sc3 0.831 0.061 0.277
Dy2 0.345 0.345 0.345
Sc4 0.277 0.831 0.061
Sc5 0.723 0.169 0.939
Sm5 0.071 0.716 0.566
Sm6 0.434 0.929 0.284
Sc6 0.169 0.939 0.723

Output
raw total energy	-72.94	eV per cell
ΔE to the lowest computed polymorph	0.00	kcal/mol of atoms
magnetization	0.000	μB/atom
ΔE_f	0.184	eV/atom
volume	427	Å³/cell

=====

VASP calculation (PBE) on crystalline Sm8DySc3 at its relaxed geometry.

Lattice parameters (Å, degrees): 8.538 8.538 8.538 96.07 101.47 134.06
Sites, in units of the cell vectors:
Sm1 0.941 0.226 0.715
Sm2 0.164 0.748 0.912
Sm3 0.836 0.252 0.088
Dy1 0.000 0.000 0.000
Sc1 0.500 0.785 0.285
Sm4 0.059 0.774 0.285
Sm5 0.164 0.252 0.417
Sm6 0.836 0.748 0.583
Sm7 0.489 0.774 0.715
Sm8 0.511 0.226 0.285
Sc2 0.500 0.215 0.715
Sc3 0.000 0.500 0.500

Output
raw total energy	-56.49	eV per cell
magnetization	0.000	μB/atom
ΔE_f	0.405	eV/atom
volume	411	Å³/cell

=====

VASP calculation (PBE) on crystalline SmDy6Sc2 at its relaxed geometry.

Lattice parameters (Å, degrees): 11.928 7.185 7.185 85.61 71.11 71.11
Sites, in units of the cell vectors:
Sm1 0.250 0.044 0.956
Dy1 0.105 0.486 0.767
Dy2 0.895 0.514 0.233
Dy3 0.432 0.260 0.056
Dy4 0.354 0.763 0.359
Dy5 0.932 0.056 0.260
Sc1 0.141 0.219 0.391
Dy6 0.395 0.233 0.514
Dy7 0.646 0.237 0.641
Dy8 0.605 0.767 0.486
Dy9 0.568 0.740 0.944
Dy10 0.146 0.641 0.237
Sc2 0.859 0.781 0.609
Dy11 0.854 0.359 0.763
Sc3 0.359 0.609 0.781
Sm2 0.750 0.956 0.044
Dy12 0.068 0.944 0.740
Sc4 0.641 0.391 0.219

Output
raw total energy	-86.45	eV per cell
ΔE to the lowest computed polymorph	0.00	kcal/mol of atoms
magnetization	0.000	μB/atom
ΔE_f	0.197	eV/atom
volume	551	Å³/cell

=====

VASP calculation (PBE) on crystalline Sm2DySc2 at its relaxed geometry.

Lattice parameters (Å, degrees): 4.796 7.011 15.258 36.38 99.04 90.00
Sites, in units of the cell vectors:
Sm1 0.195 0.066 0.391
Sm2 0.805 0.934 0.609
Sc1 0.597 0.662 0.193
Sc2 0.597 0.162 0.193
Dy1 0.000 0.250 0.000
Sc3 0.403 0.838 0.807
Sc4 0.403 0.338 0.807
Sm3 0.195 0.566 0.391
Dy2 0.000 0.750 0.000
Sm4 0.805 0.434 0.609

Output
raw total energy	-52.92	eV per cell
ΔE to the lowest computed polymorph	0.00	kcal/mol of atoms
magnetization	0.000	μB/atom
ΔE_f	0.049	eV/atom
volume	293	Å³/cell

=====

VASP calculation (PBE) on crystalline Sm9Dy2Sc at its relaxed geometry.

Lattice parameters (Å, degrees): 5.067 5.067 15.203 90.00 90.00 90.00
Sites, in units of the cell vectors:
Sm1 0.500 0.500 0.000
Dy1 0.000 0.000 0.669
Sc1 0.000 0.000 0.000
Sm2 0.000 0.500 0.838
Sm3 0.000 0.500 0.500
Dy2 0.000 0.000 0.331
Sm4 0.500 0.000 0.500
Sm5 0.500 0.500 0.331
Sm6 0.000 0.500 0.162
Sm7 0.500 0.000 0.838
Sm8 0.500 0.000 0.162
Sm9 0.500 0.500 0.669

Output
raw total energy	-57.69	eV per cell
magnetization	0.000	μB/atom
ΔE_f	0.026	eV/atom
volume	390	Å³/cell

=====

VASP calculation (PBE) on crystalline Sm2Dy4Sc5 at its relaxed geometry.

Lattice parameters (Å, degrees): 3.446 8.662 11.401 109.09 90.00 90.00
Last column: magnetic moment on the atom in μB.
Sites, in units of the cell vectors:
Sc1 0.000 0.504 0.371  0.14
Sc2 0.000 0.089 0.899  -0.01
Dy1 0.500 0.753 0.276  0.00
Sc3 0.000 0.496 0.629  0.14
Sc4 0.000 0.500 0.000  -0.04
Sm1 0.000 0.867 0.594  0.01
Dy2 0.500 0.257 0.152  0.01
Sc5 0.000 0.911 0.101  -0.01
Dy3 0.500 0.247 0.724  0.00
Dy4 0.500 0.743 0.848  0.01
Sm2 0.000 0.133 0.406  0.01

Output
raw total energy	-57.99	eV per cell
magnetization	0.035	μB/atom
ΔE_f	0.137	eV/atom
volume	322	Å³/cell

=====

Copy entry 5 word for word.
VASP calculation (PBE) on crystalline SmDy6Sc2 at its relaxed geometry.

Lattice parameters (Å, degrees): 11.928 7.185 7.185 85.61 71.11 71.11
Sites, in units of the cell vectors:
Sm1 0.250 0.044 0.956
Dy1 0.105 0.486 0.767
Dy2 0.895 0.514 0.233
Dy3 0.432 0.260 0.056
Dy4 0.354 0.763 0.359
Dy5 0.932 0.056 0.260
Sc1 0.141 0.219 0.391
Dy6 0.395 0.233 0.514
Dy7 0.646 0.237 0.641
Dy8 0.605 0.767 0.486
Dy9 0.568 0.740 0.944
Dy10 0.146 0.641 0.237
Sc2 0.859 0.781 0.609
Dy11 0.854 0.359 0.763
Sc3 0.359 0.609 0.781
Sm2 0.750 0.956 0.044
Dy12 0.068 0.944 0.740
Sc4 0.641 0.391 0.219

Output
raw total energy	-86.45	eV per cell
ΔE to the lowest computed polymorph	0.00	kcal/mol of atoms
magnetization	0.000	μB/atom
ΔE_f	0.197	eV/atom
volume	551	Å³/cell

=====

Q: What is the magnetization in the third record?
A: 0.000 μB/atom

=====

Q: Among the records above, which one has the highest ΔE_f?
A: Sm8DySc3